SrMoPt: optimized geometry, PBE-GGA.

Properties
ΔE to the lowest computed polymorph	152	meV per atom
DOS(E_F)	0.8287	states/eV/atom
symmetry	C2/m (12)
total moment	0.0	μB per formula unit
volume	143.8	Å³ per cell
DFT formation energy	19.7	meV/atom
total DFT energy (no corrections)	-6.1649	eV per atom

POSCAR file:
```
SrMoPt
1.0
6.1780 -2.8090 0.0000
6.1780 2.8090 0.0000
-1.5217 0.0000 4.1440
Sr Mo Pt
2 2 2
Direct
0.1231 0.1231 0.3745
0.8769 0.8769 0.6255
0.4439 0.4439 0.1850
0.5561 0.5561 0.8150
0.0000 0.5000 0.0000
0.5000 0.0000 0.0000
```

=====

ThNi: optimized geometry, PBE-GGA.

Properties
DOS(E_F)	0.4447	states/eV/atom
symmetry	Fm-3m (225)
total moment	0.0	μB per formula unit
volume	45.9	Å³ per cell
DFT formation energy	-313.1	meV/atom
total DFT energy (no corrections)	-6.9137	eV per atom

POSCAR file:
```
ThNi
1.0
0.0000 2.8408 2.8408
2.8408 0.0000 2.8408
2.8408 2.8408 0.0000
Th Ni
1 1
Direct
0.0000 0.0000 0.0000
0.5000 0.5000 0.5000
```

=====

LiErHfOs: optimized geometry, PBE-GGA.

Properties
DOS(E_F)	0.7619	states/eV/atom
symmetry	F-43m (216)
total moment	0.0	μB per formula unit
volume	74.8	Å³ per cell
DFT formation energy	-298.8	meV/atom
total DFT energy (no corrections)	-7.2137	eV per atom

POSCAR file:
```
LiErHfOs
1.0
0.0000 3.3438 3.3438
3.3438 0.0000 3.3438
3.3438 3.3438 0.0000
Li Er Hf Os
1 1 1 1
Direct
0.0000 0.0000 0.0000
0.7500 0.7500 0.7500
0.2500 0.2500 0.2500
0.5000 0.5000 0.5000
```

=====

CoCuB2: optimized geometry, PBE-GGA.

Properties
ΔE to the lowest computed polymorph	40	meV per atom
DOS(E_F)	0.5809	states/eV/atom
symmetry	Fm-3m (225)
total moment	0.0	μB per formula unit
volume	32.7	Å³ per cell
DFT formation energy	404.0	meV/atom
total DFT energy (no corrections)	-5.7353	eV per atom

POSCAR file:
```
CoCuB2
1.0
0.0000 2.5390 2.5390
2.5390 0.0000 2.5390
2.5390 2.5390 0.0000
Co Cu B
1 1 2
Direct
0.0000 0.0000 0.0000
0.5000 0.5000 0.5000
0.2500 0.2500 0.2500
0.7500 0.7500 0.7500
```